This record from OQMD via LeMat-Bulk describes a relaxed structure of AcNdNb. The functional is PBE.

Summary:
Relative energy among the computed polymorphs, meV/atom: 0
Formation energy from the elements, eV per formula unit: 2.36

a = 7.443 Å, b = 7.443 Å, c = 7.443 Å
α = 90.00°, β = 90.00°, γ = 90.00°
Space group F-43m (No. 216)
Asymmetric unit:
Ac1 0.000 0.000 0.000 (multiplicity 4)
Nd1 0.000 0.000 0.500 (multiplicity 4)
Nb1 0.250 0.250 0.250 (multiplicity 4)